First-principles (PBE) data for a relaxed structure of SmZrHg, as listed in the Alexandria database.

a = 5.0586 Å, b = 5.0586 Å, c = 3.5606 Å
α = 90.00°, β = 90.00°, γ = 120.00°
Sites, in units of the cell vectors:
Sm  0.0000  0.0000  0.0000
Zr  0.3333  0.6667  0.5006
Hg  0.6667  0.3333  0.4986

Values from the calculation:
Space-group type ... P3m1
Polymorph energy (0 for the lowest one) ... 0.53 eV/f.u.
DOS at the Fermi energy ... 2.311 states/eV per cell
Magnetization ... 0.00 μB per cell

---

First-principles (PBE) data for a relaxed structure of SmZrHg2, as listed in the Alexandria database.

a = 3.6297 Å, b = 3.6297 Å, c = 7.4140 Å
α = 90.00°, β = 90.00°, γ = 90.00°
Sites, in units of the cell vectors:
Sm  0.0000  0.0000  0.0000
Zr  0.0000  0.0000  0.5000
Hg  0.5000  0.5000  0.2739
Hg  0.5000  0.5000  0.7261

Values from the calculation:
Space-group type ... P4/mmm
Polymorph energy (0 for the lowest one) ... 0.00 eV/f.u.
DOS at the Fermi energy ... 4.738 states/eV per cell
Magnetization ... 0.62 μB per cell

---

First-principles (PBE) data for a relaxed structure of SmZrHg, as listed in the Alexandria database.

a = 6.8325 Å, b = 6.8325 Å, c = 6.8325 Å
α = 150.46°, β = 150.46°, γ = 42.26°
Sites, in units of the cell vectors:
Sm  0.0000  0.0000  0.0000
Zr  0.3202  0.3202  0.0000
Hg  0.6781  0.6781  0.0000

Values from the calculation:
Space-group type ... I4mm
Polymorph energy (0 for the lowest one) ... 0.11 eV/f.u.
DOS at the Fermi energy ... 1.726 states/eV per cell
Magnetization ... 0.00 μB per cell

---

First-principles (PBE) data for a relaxed structure of Sm5ZrHg4, as listed in the Alexandria database.

a = 3.6770 Å, b = 3.6770 Å, c = 20.3776 Å
α = 90.00°, β = 90.00°, γ = 90.00°
Sites, in units of the cell vectors:
Sm  0.0000  0.0000  0.0000
Sm  0.0000  0.0000  0.1937
Sm  0.0000  0.0000  0.3916
Sm  0.0000  0.0000  0.6084
Sm  0.0000  0.0000  0.8063
Zr  0.5000  0.5000  0.5000
Hg  0.5000  0.5000  0.0966
Hg  0.5000  0.5000  0.2936
Hg  0.5000  0.5000  0.7064
Hg  0.5000  0.5000  0.9034

Values from the calculation:
Space-group type ... P4/mmm
DOS at the Fermi energy ... 12.439 states/eV per cell
Magnetization ... 0.98 μB per cell

---

First-principles (PBE) data for a relaxed structure of SmZrHg6, as listed in the Alexandria database.

a = 4.5101 Å, b = 4.5101 Å, c = 9.3213 Å
α = 90.00°, β = 90.00°, γ = 90.00°
Sites, in units of the cell vectors:
Sm  0.0000  0.0000  0.0000
Zr  0.0000  0.0000  0.5000
Hg  0.0000  0.5000  0.2608
Hg  0.0000  0.5000  0.7392
Hg  0.5000  0.0000  0.2608
Hg  0.5000  0.0000  0.7392
Hg  0.5000  0.5000  0.0000
Hg  0.5000  0.5000  0.5000

Values from the calculation:
Space-group type ... P4/mmm
DOS at the Fermi energy ... 8.841 states/eV per cell
Magnetization ... 0.00 μB per cell

---

First-principles (PBE) data for a relaxed structure of SmZrHg2, as listed in the Alexandria database.

a = 5.1790 Å, b = 5.1790 Å, c = 5.1790 Å
α = 60.00°, β = 60.00°, γ = 60.00°
Sites, in units of the cell vectors:
Sm  0.0000  0.0000  0.0000
Zr  0.5000  0.5000  0.5000
Hg  0.2500  0.2500  0.2500
Hg  0.7500  0.7500  0.7500

Values from the calculation:
Space-group type ... Fm-3m
Polymorph energy (0 for the lowest one) ... 0.15 eV/f.u.
DOS at the Fermi energy ... 4.398 states/eV per cell
Magnetization ... 0.87 μB per cell

---

First-principles (PBE) data for a relaxed structure of Sm5ZrHg6, as listed in the Alexandria database.

a = 9.1791 Å, b = 9.1791 Å, c = 9.1791 Å
α = 146.59°, β = 131.45°, γ = 60.21°
Sites, in units of the cell vectors:
Sm  0.0000  0.0000  0.0000
Sm  0.1656  0.6656  0.5000
Sm  0.3320  0.3320  0.0000
Sm  0.6680  0.6680  0.0000
Sm  0.8344  0.3344  0.5000
Zr  0.5000  0.0000  0.5000
Hg  0.0957  0.8381  0.2576
Hg  0.2650  0.5000  0.7650
Hg  0.4196  0.1619  0.2576
Hg  0.5804  0.8381  0.7424
Hg  0.7350  0.5000  0.2350
Hg  0.9043  0.1619  0.7424

Values from the calculation:
Space-group type ... Immm
DOS at the Fermi energy ... 11.639 states/eV per cell
Magnetization ... 3.20 μB per cell

---

First-principles (PBE) data for a relaxed structure of SnHg3, as listed in the Alexandria database.

a = 3.2571 Å, b = 4.0814 Å, c = 8.2020 Å
α = 90.00°, β = 90.00°, γ = 90.00°
Sites, in units of the cell vectors:
Sn  0.0000  0.0000  0.0000
Hg  0.0000  0.5000  0.2777
Hg  0.5000  0.0000  0.5028
Hg  0.5000  0.5000  0.7763

Values from the calculation:
Space-group type ... Pmm2
DOS at the Fermi energy ... 1.333 states/eV per cell
Magnetization ... 0.00 μB per cell

---

First-principles (PBE) data for a relaxed structure of SnHg2, as listed in the Alexandria database.

a = 4.9596 Å, b = 4.9748 Å, c = 5.0021 Å
α = 60.25°, β = 60.33°, γ = 89.92°
Sites, in units of the cell vectors:
Sn  0.0000  0.0000  0.0000
Hg  0.2494  0.7479  0.5023
Hg  0.7506  0.2521  0.4977

Values from the calculation:
Space-group type ... P-1
Polymorph energy (0 for the lowest one) ... 0.04 eV/f.u.
DOS at the Fermi energy ... 0.694 states/eV per cell
Magnetization ... 0.00 μB per cell

---

First-principles (PBE) data for a relaxed structure of SnHg12, as listed in the Alexandria database.

a = 7.6914 Å, b = 7.6914 Å, c = 7.6914 Å
α = 109.47°, β = 109.47°, γ = 109.47°
Sites, in units of the cell vectors:
Sn  0.0000  0.0000  0.0000
Hg  0.1396  0.8178  0.3219
Hg  0.1822  0.3219  0.5041
Hg  0.1822  0.6781  0.8604
Hg  0.3219  0.1396  0.8178
Hg  0.3219  0.5041  0.1822
Hg  0.4959  0.8178  0.6781
Hg  0.5041  0.1822  0.3219
Hg  0.6781  0.4959  0.8178
Hg  0.6781  0.8604  0.1822
Hg  0.8178  0.3219  0.1396
Hg  0.8178  0.6781  0.4959
Hg  0.8604  0.1822  0.6781

Values from the calculation:
Space-group type ... Im-3
DOS at the Fermi energy ... 3.355 states/eV per cell
Magnetization ... 0.00 μB per cell

---

First-principles (PBE) data for a relaxed structure of Sn2Hg, as listed in the Alexandria database.

a = 3.4667 Å, b = 3.4667 Å, c = 7.7939 Å
α = 90.00°, β = 90.00°, γ = 120.00°
Sites, in units of the cell vectors:
Sn  0.3333  0.6667  0.1701
Sn  0.6667  0.3333  0.8299
Hg  0.0000  0.0000  0.5000

Values from the calculation:
Space-group type ... P-3m1
Polymorph energy (0 for the lowest one) ... 0.00 eV/f.u.
DOS at the Fermi energy ... 1.141 states/eV per cell
Magnetization ... 0.00 μB per cell

---

First-principles (PBE) data for a relaxed structure of Sn7Hg2, as listed in the Alexandria database.

a = 5.7449 Å, b = 5.7449 Å, c = 8.6094 Å
α = 90.00°, β = 90.00°, γ = 120.00°
Sites, in units of the cell vectors:
Sn  0.0000  0.0000  0.0000
Sn  0.0000  0.3268  0.6699
Sn  0.0000  0.6732  0.3301
Sn  0.3268  0.0000  0.6699
Sn  0.3268  0.3268  0.3301
Sn  0.6732  0.0000  0.3301
Sn  0.6732  0.6732  0.6699
Hg  0.3333  0.6667  0.0000
Hg  0.6667  0.3333  0.0000

Values from the calculation:
Space-group type ... P-31m
DOS at the Fermi energy ... 5.487 states/eV per cell
Magnetization ... 0.00 μB per cell

---

Calculated calculated total energy (eV per atom), listed in the same order as above: -4.550; -3.733; -4.690; -3.660; -2.064; -3.696; -3.222; -1.166; -1.463; -0.562; -2.711; -3.103
Calculated energy relative to the elements (eV per atom), listed in the same order as above: -0.03; -0.27; -0.17; -0.32; -0.18; -0.23; -0.39; 0.06; 0.07; 0.02; 0.06; 0.08